[1]
# Na2In2Pb3

Na2In2Pb3 after structural relaxation (GGA-PBE, the Alexandria database).

Summary:
Formation energy (eV per atom): -0.0503
M_tot (μB per atom): 0.000
Offset from the most stable computed form (eV/atom): 0.040
Calculated density (g/cm3): 7.0

Cell: 6.5444 6.5444 10.2622 Å, 117.42 117.42 33.27°
Closest atoms and distances in Å follow each position.
Atoms (fractional coordinates):
Na1 0.2249 0.2249 0.2934  6 Pb 3.29-3.62, 2 In 3.37
Na2 0.7751 0.7751 0.7066  6 Pb 3.29-3.62, 2 In 3.37
In1 0.1565 0.1565 0.8785  2 In 3.10, 4 Pb 3.17-3.36, 2 Na 3.37
In2 0.8435 0.8435 0.1215  2 In 3.10, 4 Pb 3.17-3.36, 2 Na 3.37
Pb1 0.4614 0.4614 0.6292  2 In 3.17, 1 Pb 3.23, 3 Na 3.29-3.37
Pb2 0.5000 0.5000 0.0000  4 In 3.36, 4 Na 3.52, 4 Pb 3.60-3.75
Pb3 0.5386 0.5386 0.3708  2 In 3.17, 1 Pb 3.23, 3 Na 3.29-3.37

[2]
# Na4In3Pb

Na4In3Pb after structural relaxation (GGA-PBE, the Alexandria database).

Summary:
Formation energy (eV per atom): -0.0261
M_tot (μB per atom): 0.000
Calculated density (g/cm3): 4.5

Cell: 6.1589 11.6462 6.5655 Å, 90.00 90.00 90.00°
Closest atoms and distances in Å follow each position.
Atoms (fractional coordinates):
Na1 0.0000 0.1027 0.0000  4 In 3.24-3.31, 3 Na 3.25-3.52, 3 Pb 3.25-3.51
Na2 0.0000 0.8615 0.2479  5 Na 3.25-3.58, 2 Pb 3.27-3.29, 5 In 3.33-3.50
Na3 0.2480 0.3786 0.5020  2 Na 3.05-3.10, 4 In 3.19-3.41
Na4 0.2520 0.6214 0.0020  2 Na 3.05-3.10, 4 In 3.19-3.41
Na5 0.5000 0.1385 0.7479  5 Na 3.25-3.58, 2 Pb 3.27-3.29, 5 In 3.33-3.50
Na6 0.5000 0.8973 0.5000  4 In 3.24-3.31, 3 Na 3.25-3.52, 3 Pb 3.25-3.51
Na7 0.7480 0.6214 0.0020  2 Na 3.05-3.10, 4 In 3.19-3.41
Na8 0.7520 0.3786 0.5020  2 Na 3.05-3.10, 4 In 3.19-3.41
In1 0.0000 0.1166 0.4970  7 Na 3.27-3.50, 3 Pb 3.40-3.49
In2 0.2492 0.6529 0.5041  2 In 3.07-3.09, 5 Na 3.19-3.33, 1 Pb 3.30
In3 0.2508 0.3471 0.0041  2 In 3.07-3.09, 5 Na 3.19-3.33, 1 Pb 3.30
In4 0.5000 0.8834 0.9970  7 Na 3.27-3.50, 3 Pb 3.40-3.49
In5 0.7492 0.3471 0.0041  2 In 3.07-3.09, 5 Na 3.19-3.33, 1 Pb 3.30
In6 0.7508 0.6529 0.5041  2 In 3.07-3.09, 5 Na 3.19-3.33, 1 Pb 3.30
Pb1 0.0000 0.8620 0.7495  7 Na 3.25-3.61, 5 In 3.30-3.49
Pb2 0.5000 0.1380 0.2495  7 Na 3.25-3.61, 5 In 3.30-3.49

[3]
# NaIn6Pb4

NaIn6Pb4 after structural relaxation (GGA-PBE, the Alexandria database).

Summary:
Formation energy (eV per atom): 0.0718
M_tot (μB per atom): 0.000
Calculated density (g/cm3): 7.3

Cell: 9.5808 9.5808 4.3824 Å, 90.00 90.00 120.00°
Closest atoms and distances in Å follow each position.
Atoms (fractional coordinates):
Na1 0.0000 0.0000 0.0000  6 In 3.81, 6 Pb 3.95
In1 0.0471 0.5235 0.0000  5 Pb 3.16-3.19
In2 0.3759 0.1880 0.5000  4 Pb 3.21-3.26
In3 0.4765 0.5235 0.0000  5 Pb 3.16-3.19
In4 0.4765 0.9529 0.0000  5 Pb 3.16-3.19
In5 0.8120 0.1880 0.5000  4 Pb 3.21-3.26
In6 0.8120 0.6241 0.5000  4 Pb 3.21-3.26
Pb1 0.1982 0.3963 0.5000  6 In 3.19-3.21
Pb2 0.1982 0.8018 0.5000  6 In 3.19-3.21
Pb3 0.6037 0.8018 0.5000  6 In 3.19-3.21
Pb4 0.6667 0.3333 0.0000  9 In 3.16-3.26

[4]
# Na2In3Pb5

Na2In3Pb5 after structural relaxation (GGA-PBE, the Alexandria database).

Summary:
Formation energy (eV per atom): -0.0391
M_tot (μB per atom): 0.000
Offset from the most stable computed form (eV/atom): 0.000
Calculated density (g/cm3): 7.9

Cell: 9.7849 9.7849 6.4230 Å, 90.32 90.32 102.90°
Closest atoms and distances in Å follow each position.
Atoms (fractional coordinates):
Na1 0.1258 0.6274 0.6203  2 Na 3.43-3.44, 6 Pb 3.53-3.71, 4 In 3.57-3.77
Na2 0.3726 0.8742 0.8797  2 Na 3.43-3.44, 6 Pb 3.53-3.71, 4 In 3.57-3.77
Na3 0.6274 0.1258 0.1203  2 Na 3.43-3.44, 6 Pb 3.53-3.71, 4 In 3.57-3.77
Na4 0.8742 0.3726 0.3797  2 Na 3.43-3.44, 6 Pb 3.53-3.71, 4 In 3.57-3.77
In1 0.0209 0.7314 0.1233  6 Pb 3.16-3.43, 1 In 3.42
In2 0.2686 0.9791 0.3767  6 Pb 3.16-3.43, 1 In 3.42
In3 0.4589 0.5411 0.7500  6 Pb 3.24-3.39, 2 In 3.45
In4 0.5411 0.4589 0.2500  6 Pb 3.24-3.39, 2 In 3.45
In5 0.7314 0.0209 0.6233  6 Pb 3.16-3.43, 1 In 3.42
In6 0.9791 0.2686 0.8767  6 Pb 3.16-3.43, 1 In 3.42
Pb1 0.0416 0.9584 0.7500  4 In 3.25-3.32, 4 Pb 3.45-3.49, 2 Na 3.61
Pb2 0.2076 0.2976 0.5093  3 In 3.23-3.41, 5 Pb 3.37-3.49, 2 Na 3.56-3.59
Pb3 0.2281 0.5261 0.1131  4 In 3.16-3.43, 3 Pb 3.37-3.46, 1 Na 3.53
Pb4 0.2976 0.2076 0.0093  3 In 3.23-3.41, 5 Pb 3.37-3.49, 2 Na 3.56-3.59
Pb5 0.4739 0.7719 0.3869  4 In 3.16-3.43, 3 Pb 3.37-3.46, 1 Na 3.53
Pb6 0.5261 0.2281 0.6131  4 In 3.16-3.43, 3 Pb 3.37-3.46, 1 Na 3.53
Pb7 0.7024 0.7924 0.9907  3 In 3.23-3.41, 5 Pb 3.37-3.49, 2 Na 3.56-3.59
Pb8 0.7719 0.4739 0.8869  4 In 3.16-3.43, 3 Pb 3.37-3.46, 1 Na 3.53
Pb9 0.7924 0.7024 0.4907  3 In 3.23-3.41, 5 Pb 3.37-3.49, 2 Na 3.56-3.59
Pb10 0.9584 0.0416 0.2500  4 In 3.25-3.32, 4 Pb 3.45-3.49, 2 Na 3.61

[5]
# Na2In2Pb3

Na2In2Pb3 after structural relaxation (GGA-PBE, the Alexandria database).

Summary:
Formation energy (eV per atom): -0.0902
M_tot (μB per atom): 0.000
Offset from the most stable computed form (eV/atom): 0.000
Calculated density (g/cm3): 7.4

Cell: 5.9575 5.9575 7.5503 Å, 95.95 95.95 48.79°
Closest atoms and distances in Å follow each position.
Atoms (fractional coordinates):
Na1 0.0794 0.0794 0.2181  6 Pb 3.37-3.50, 5 In 3.39-3.49, 1 Na 3.54
Na2 0.9206 0.9206 0.7819  6 Pb 3.37-3.50, 5 In 3.39-3.49, 1 Na 3.54
In1 0.3634 0.3634 0.0702  3 In 3.26-3.56, 4 Pb 3.32-3.41, 5 Na 3.39-3.49
In2 0.6366 0.6366 0.9298  3 In 3.26-3.56, 4 Pb 3.32-3.41, 5 Na 3.39-3.49
Pb1 0.2111 0.2111 0.6635  3 In 3.32-3.33, 4 Na 3.37-3.50, 5 Pb 3.49-3.65
Pb2 0.5000 0.5000 0.5000  2 In 3.41, 4 Na 3.43, 6 Pb 3.49-3.50
Pb3 0.7889 0.7889 0.3365  3 In 3.32-3.33, 4 Na 3.37-3.50, 5 Pb 3.49-3.65

[6]
# NaInPb

NaInPb after structural relaxation (GGA-PBE, the Alexandria database).

Summary:
Formation energy (eV per atom): 0.4736
M_tot (μB per atom): 0.000
Calculated density (g/cm3): 4.0

Cell: 5.3626 5.3626 11.5348 Å, 90.00 90.00 120.00°
Closest atoms and distances in Å follow each position.
Atoms (fractional coordinates):
Na1 0.3333 0.6667 0.2500  3 In 3.10
Na2 0.6667 0.3333 0.7500  3 In 3.10
In1 0.0000 0.0000 0.2500  2 Pb 2.88, 3 Na 3.10
In2 0.0000 0.0000 0.7500  2 Pb 2.88, 3 Na 3.10
Pb1 0.0000 0.0000 0.0000  2 In 2.88
Pb2 0.0000 0.0000 0.5000  2 In 2.88

[7]
# NaIn3Pb3

NaIn3Pb3 after structural relaxation (GGA-PBE, the Alexandria database).

Summary:
Formation energy (eV per atom): 0.0007
M_tot (μB per atom): 0.000
Offset from the most stable computed form (eV/atom): 0.000
Calculated density (g/cm3): 7.7

Cell: 7.7559 7.7559 7.0661 Å, 90.06 90.06 89.10°
Closest atoms and distances in Å follow each position.
Atoms (fractional coordinates):
Na1 0.1769 0.1769 0.0001  4 In 3.30-3.62, 4 Pb 3.36
Na2 0.8231 0.8231 0.9999  4 In 3.30-3.62, 4 Pb 3.36
In1 0.1619 0.8381 0.5000  3 In 3.25-3.52, 4 Pb 3.40-3.41
In2 0.2439 0.7561 0.0000  6 Pb 3.29-3.30, 2 Na 3.30, 2 In 3.64
In3 0.2466 0.2466 0.4995  6 Pb 3.23-3.32, 2 In 3.25, 1 Na 3.61
In4 0.7534 0.7534 0.5005  6 Pb 3.23-3.32, 2 In 3.25, 1 Na 3.61
In5 0.7561 0.2439 0.0000  6 Pb 3.29-3.30, 2 Na 3.30, 2 In 3.64
In6 0.8381 0.1619 0.5000  3 In 3.25-3.52, 4 Pb 3.40-3.41
Pb1 0.0000 0.5002 0.2542  6 In 3.23-3.41, 2 Na 3.36, 2 Pb 3.47-3.59
Pb2 0.0000 0.4998 0.7458  6 In 3.23-3.41, 2 Na 3.36, 2 Pb 3.47-3.59
Pb3 0.5002 0.0000 0.2542  6 In 3.23-3.41, 2 Na 3.36, 2 Pb 3.47-3.59
Pb4 0.4998 0.0000 0.7458  6 In 3.23-3.41, 2 Na 3.36, 2 Pb 3.47-3.59
Pb5 0.5001 0.5001 0.2481  4 In 3.29-3.32, 2 Pb 3.51-3.56
Pb6 0.4999 0.4999 0.7519  4 In 3.29-3.32, 2 Pb 3.51-3.56

[8]
# NaInPb

NaInPb after structural relaxation (GGA-PBE, the Alexandria database).

Summary:
Formation energy (eV per atom): -0.0420
M_tot (μB per atom): 0.000
Calculated density (g/cm3): 6.9

Cell: 5.4167 5.4167 6.5364 Å, 90.00 90.00 119.86°
Closest atoms and distances in Å follow each position.
Atoms (fractional coordinates):
Na1 0.1676 0.8324 0.7500  5 Pb 3.13-3.27
Na2 0.8324 0.1676 0.2500  5 Pb 3.13-3.27
In1 0.5000 0.5000 0.0000  2 In 3.27, 6 Na 3.52-3.54, 6 Pb 3.53
In2 0.5000 0.5000 0.5000  2 In 3.27, 6 Na 3.52-3.54, 6 Pb 3.53
Pb1 0.1662 0.8338 0.2500  5 Na 3.13-3.27
Pb2 0.8338 0.1662 0.7500  5 Na 3.13-3.27

[9]
# Na3InPb12

Na3InPb12 after structural relaxation (GGA-PBE, the Alexandria database).

Summary:
Formation energy (eV per atom): -0.0793
M_tot (μB per atom): 0.000
Calculated density (g/cm3): 9.2

Cell: 4.8731 4.8731 20.2223 Å, 90.00 90.00 90.00°
Closest atoms and distances in Å follow each position.
Atoms (fractional coordinates):
Na1 0.0000 0.0000 0.0000  12 Pb 3.45-3.51
Na2 0.0000 0.0000 0.2487  12 Pb 3.45-3.52
Na3 0.0000 0.0000 0.7513  12 Pb 3.45-3.52
In1 0.0000 0.0000 0.5000  12 Pb 3.45-3.52
Pb1 0.0000 0.5000 0.1252  8 Pb 3.45-3.51, 4 Na 3.49-3.51
Pb2 0.0000 0.5000 0.3742  8 Pb 3.45-3.52, 2 Na 3.52, 2 In 3.52
Pb3 0.0000 0.5000 0.6258  8 Pb 3.45-3.52, 2 Na 3.52, 2 In 3.52
Pb4 0.0000 0.5000 0.8748  8 Pb 3.45-3.51, 4 Na 3.49-3.51
Pb5 0.5000 0.0000 0.1252  8 Pb 3.45-3.51, 4 Na 3.49-3.51
Pb6 0.5000 0.0000 0.3742  8 Pb 3.45-3.52, 2 Na 3.52, 2 In 3.52
Pb7 0.5000 0.0000 0.6258  8 Pb 3.45-3.52, 2 Na 3.52, 2 In 3.52
Pb8 0.5000 0.0000 0.8748  8 Pb 3.45-3.51, 4 Na 3.49-3.51
Pb9 0.5000 0.5000 0.0000  4 Na 3.45, 8 Pb 3.51
Pb10 0.5000 0.5000 0.2487  4 Na 3.45, 8 Pb 3.49-3.52
Pb11 0.5000 0.5000 0.5000  4 In 3.45, 8 Pb 3.52
Pb12 0.5000 0.5000 0.7513  4 Na 3.45, 8 Pb 3.49-3.52

[10]
# Na2In4Pb3

Na2In4Pb3 after structural relaxation (GGA-PBE, the Alexandria database).

Summary:
Formation energy (eV per atom): -0.0760
M_tot (μB per atom): 0.000
Offset from the most stable computed form (eV/atom): 0.000
Calculated density (g/cm3): 7.4

Cell: 5.9430 5.9430 10.1634 Å, 105.92 105.92 47.90°
Closest atoms and distances in Å follow each position.
Atoms (fractional coordinates):
Na1 0.1614 0.1614 0.2213  7 In 3.36-3.48, 5 Pb 3.40-3.46
Na2 0.8386 0.8386 0.7787  7 In 3.36-3.48, 5 Pb 3.40-3.46
In1 0.1702 0.1702 0.8938  4 Pb 3.35-3.42, 4 In 3.35-3.45, 4 Na 3.36-3.44
In2 0.4973 0.4973 0.3332  6 Pb 3.35-3.49, 3 In 3.37-3.45, 3 Na 3.39-3.48
In3 0.5027 0.5027 0.6668  6 Pb 3.35-3.49, 3 In 3.37-3.45, 3 Na 3.39-3.48
In4 0.8298 0.8298 0.1062  4 Pb 3.35-3.42, 4 In 3.35-3.45, 4 Na 3.36-3.44
Pb1 0.1660 0.1660 0.5629  6 In 3.35-3.49, 3 Na 3.42-3.46, 3 Pb 3.45-3.49
Pb2 0.5000 0.5000 0.0000  8 In 3.39-3.42, 4 Na 3.40
Pb3 0.8340 0.8340 0.4371  6 In 3.35-3.49, 3 Na 3.42-3.46, 3 Pb 3.45-3.49